Record 1
The following is a DFT calculation (GGA-PBE) of crystalline LiZn2 at its relaxed geometry.

The formation energy is -147 meV/atom. For the density of states at the Fermi level, the calculation gives 0.9 states/eV/f.u.

The space group is I4_1/amd (No. 141, origin choice 2) and the conventional cell measures 4.0600, 4.0600 and 21.4291 Å, with angles of 90.00, 90.00 and 90.00 degrees. The distinct sites, in fractional coordinates, are Li at (0.0000, 0.2500, 0.2932), Zn at (0.0000, 0.2500, 0.1276) and Zn at (0.0000, 0.2500, 0.7926).

Record 2
The following is a DFT calculation (GGA-PBE) of crystalline Li3Zn2 at its relaxed geometry.

The formation energy is -136 meV/atom. The calculation puts the excess energy over the best structure of this formula in the dataset at 0 meV per atom. For the density of states at the Fermi level, the calculation gives 1.4 states/eV/f.u.

The space group is Fdd2 (No. 43) and the conventional cell measures 9.3339, 13.5276 and 4.8688 Å, with angles of 90.00, 90.00 and 90.00 degrees. The distinct sites, in fractional coordinates, are Li at (0.0000, 0.0000, 0.0000), Li at (0.0295, 0.1024, 0.4901) and Zn at (0.0153, 0.2047, 0.9612).

Number 1: calculated density 5.18 Mg/m³. Number 2: calculated density 3.28 Mg/m³.